Below is Ca3Mn3CrO8 after structural relaxation, with properties calculated at the GGA+U level.

Computed properties:
Fermi-level density of states   0.0563 states/eV/atom
Crystal system   monoclinic
E   -7.224 eV per atom
Space-group type   C2/m (12)

```
Ca3Mn3CrO8
1.0
6.614 -0.061 0.211
-3.364 5.695 -0.228
0.201 -3.855 5.196
Cr Ca O Mn
1 3 8 3
Direct
0.000 0.000 0.500
0.000 0.500 0.500
0.500 0.500 0.500
0.500 0.000 0.500
0.741 0.510 0.751
0.791 0.538 0.244
0.795 0.047 0.756
0.209 0.462 0.756
0.785 0.986 0.271
0.205 0.953 0.244
0.259 0.490 0.249
0.215 0.014 0.729
0.000 0.000 0.000
0.000 0.500 0.000
0.500 0.500 0.000
```